# 1
The following is a DFT calculation (PBE) of an optimized crystal structure of CsSb3Mo.

Results
formation energy without anion corrections: 0.1843 eV/atom

a = 5.419 Å, b = 5.419 Å, c = 5.419 Å
α = 90.00°, β = 90.00°, γ = 90.00°
Positions (direct):
1 Cs 0.500 0.500 0.500
2 Sb 0.000 0.500 0.000
3 Sb 0.000 0.000 0.500
4 Sb 0.500 0.000 0.000
5 Mo 0.000 0.000 0.000


# 2
The following is a DFT calculation (PBE) of an optimized crystal structure of CsSbMo3.

Results
formation energy without anion corrections: 2.1032 eV/atom

a = 5.246 Å, b = 5.246 Å, c = 5.246 Å
α = 90.00°, β = 90.00°, γ = 90.00°
Positions (direct):
1 Cs 0.500 0.500 0.500
2 Sb 0.000 0.000 0.000
3 Mo 0.000 0.500 0.000
4 Mo 0.000 0.000 0.500
5 Mo 0.500 0.000 0.000


# 3
The following is a DFT calculation (PBE) of an optimized crystal structure of CsSbTe2Mo.

Results
formation energy without anion corrections: 0.0051 eV/atom

a = 5.554 Å, b = 5.554 Å, c = 5.325 Å
α = 90.00°, β = 90.00°, γ = 90.00°
Positions (direct):
1 Cs 0.500 0.500 0.500
2 Sb 0.000 0.000 0.500
3 Mo 0.000 0.000 0.000
4 Te 0.000 0.500 0.000
5 Te 0.500 0.000 0.000


# 4
The following is a DFT calculation (PBE) of an optimized crystal structure of CsSbTe2Mo.

Results
formation energy without anion corrections: 2.4162 eV/atom

a = 6.136 Å, b = 6.136 Å, c = 6.025 Å
α = 90.00°, β = 90.00°, γ = 90.00°
Positions (direct):
1 Cs 0.000 0.000 0.000
2 Sb 0.000 0.000 0.500
3 Mo 0.500 0.500 0.500
4 Te 0.000 0.500 0.000
5 Te 0.500 0.000 0.000


# 5
The following is a DFT calculation (PBE) of an optimized crystal structure of CsY2SbMo.

Results
formation energy without anion corrections: 2.0644 eV/atom

a = 5.569 Å, b = 5.924 Å, c = 5.569 Å
α = 90.00°, β = 90.00°, γ = 90.00°
Positions (direct):
1 Cs 0.000 0.000 0.000
2 Sb 0.000 0.500 0.000
3 Mo 0.500 0.500 0.500
4 Y 0.000 0.000 0.500
5 Y 0.500 0.000 0.000


# 6
The following is a DFT calculation (PBE) of an optimized crystal structure of CsZnSb2Mo.

Results
formation energy without anion corrections: 2.2064 eV/atom

a = 6.375 Å, b = 6.291 Å, c = 6.375 Å
α = 90.00°, β = 90.00°, γ = 90.00°
Positions (direct):
1 Cs 0.000 0.000 0.000
2 Sb 0.000 0.000 0.500
3 Sb 0.500 0.000 0.000
4 Mo 0.000 0.500 0.000
5 Zn 0.500 0.500 0.500


# 7
The following is a DFT calculation (PBE) of an optimized crystal structure of CsScMo2.

Results
formation energy from the elements: 1.955 eV/atom

a = 8.085 Å, b = 8.085 Å, c = 6.357 Å
α = 50.51°, β = 50.51°, γ = 90.00°
Positions (direct):
1 Cs 0.000 0.000 0.000
2 Cs 0.750 0.250 0.500
3 Sc 0.500 0.500 0.000
4 Sc 0.250 0.750 0.500
5 Mo 0.610 0.125 0.250
6 Mo 0.140 0.625 0.250
7 Mo 0.375 0.390 0.750
8 Mo 0.875 0.860 0.750


# 8
The following is a DFT calculation (PBE) of an optimized crystal structure of Cs2ScMo.

Results
formation energy from the elements: 1.753 eV/atom

a = 6.326 Å, b = 6.326 Å, c = 6.326 Å
α = 60.00°, β = 60.00°, γ = 60.00°
Positions (direct):
1 Cs 0.250 0.250 0.250
2 Cs 0.750 0.750 0.750
3 Sc 0.000 0.000 0.000
4 Mo 0.500 0.500 0.500


# 9
The following is a DFT calculation (PBE) of an optimized crystal structure of CsScMo2.

Results
formation energy from the elements: 1.777 eV/atom

a = 4.867 Å, b = 4.867 Å, c = 4.867 Å
α = 60.00°, β = 60.00°, γ = 60.00°
Positions (direct):
1 Cs 0.500 0.500 0.500
2 Sc 0.000 0.000 0.000
3 Mo 0.250 0.250 0.250
4 Mo 0.750 0.750 0.750


# 10
The following is a DFT calculation (PBE) of an optimized crystal structure of Cs3ScMo.

Results
formation energy from the elements: 1.720 eV/atom

a = 7.293 Å, b = 7.293 Å, c = 7.293 Å
α = 90.00°, β = 90.00°, γ = 90.00°
Positions (direct):
1 Cs 0.000 0.500 0.000
2 Cs 0.000 0.000 0.500
3 Cs 0.500 0.000 0.000
4 Sc 0.000 0.000 0.000
5 Mo 0.500 0.500 0.500


# 11
The following is a DFT calculation (PBE) of an optimized crystal structure of CsSc3Mo.

Results
formation energy from the elements: 2.034 eV/atom

a = 5.101 Å, b = 5.101 Å, c = 5.101 Å
α = 90.00°, β = 90.00°, γ = 90.00°
Positions (direct):
1 Cs 0.000 0.000 0.000
2 Sc 0.000 0.500 0.000
3 Sc 0.000 0.000 0.500
4 Sc 0.500 0.000 0.000
5 Mo 0.500 0.500 0.500


# 12
The following is a DFT calculation (PBE) of an optimized crystal structure of CsSc3Mo.

Results
formation energy from the elements: 0.656 eV/atom

a = 5.325 Å, b = 5.325 Å, c = 5.325 Å
α = 90.00°, β = 90.00°, γ = 90.00°
Positions (direct):
1 Cs 0.500 0.500 0.500
2 Sc 0.000 0.500 0.000
3 Sc 0.000 0.000 0.500
4 Sc 0.500 0.000 0.000
5 Mo 0.000 0.000 0.000


Going through the records in order, we get DFT total energy values of -4.63, -5.39, -4.41, -2.00, -3.68, -2.03, -5.26, -2.96, -5.43, -2.23, -4.10, -5.48 eV per atom.
Going through the records in order, we get size of the total moment values of 0.00, 7.27, 0.00, 0.53, 4.01, 4.23, 0.00, 2.95, 0.00, 8.00, 0.00, 0.00 Bohr magnetons per cell.